Record 1
Below is a relaxed LiYOs2 crystal, with properties calculated at the PBE-GGA level.

Uncorrected energy   -58.26 eV/cell
Calculated volume   137.23 Å³/cell
Formation energy   0.43 eV per atom

The structure in CIF format:
```
data_LiYOs2
_space_group_name_H-M_alt 'C m m m'
_space_group_IT_number 65
_space_group_name_Hall '-C 2 2'
_cell_length_a 5.150
_cell_length_b 8.814
_cell_length_c 3.023
_cell_angle_alpha 90.00
_cell_angle_beta 90.00
_cell_angle_gamma 90.00
loop_
_atom_site_label
_atom_site_type_symbol
_atom_site_fract_x
_atom_site_fract_y
_atom_site_fract_z
Li1 Li 0.000 0.000 0.000
Y1 Y 0.000 0.500 0.000
Os1 Os 0.250 0.250 0.500
```

Record 2
Below is a relaxed LaIn2SBr crystal, with properties calculated at the PBE-GGA level.

Uncorrected energy   -18.41 eV/cell
Calculated volume   174.76 Å³/cell
ΔE_f (raw)   -440 meV/atom

The structure in CIF format:
```
data_LaIn2SBr
_space_group_name_H-M_alt 'P 4/m m m'
_space_group_IT_number 123
_space_group_name_Hall '-P 4 2'
_cell_length_a 5.660
_cell_length_b 5.660
_cell_length_c 5.454
_cell_angle_alpha 90.00
_cell_angle_beta 90.00
_cell_angle_gamma 90.00
loop_
_atom_site_label
_atom_site_type_symbol
_atom_site_fract_x
_atom_site_fract_y
_atom_site_fract_z
La1 La 0.000 0.000 0.000
In1 In 0.000 0.500 0.500
S1 S 0.000 0.000 0.500
Br1 Br 0.500 0.500 0.000
```

Record 3
Below is a relaxed LiBi6 crystal, with properties calculated at the PBE-GGA level.

Uncorrected energy   -46.19 eV/cell
Calculated volume   695.34 Å³/cell
Formation energy   0.30 eV per atom

The structure in CIF format:
```
data_LiBi6
_space_group_name_H-M_alt 'I m -3 m'
_space_group_IT_number 229
_space_group_name_Hall '-I 4 2 3'
_cell_length_a 8.859
_cell_length_b 8.859
_cell_length_c 8.859
_cell_angle_alpha 90.00
_cell_angle_beta 90.00
_cell_angle_gamma 90.00
loop_
_atom_site_label
_atom_site_type_symbol
_atom_site_fract_x
_atom_site_fract_y
_atom_site_fract_z
Li1 Li 0.000 0.000 0.000
Bi1 Bi 0.000 0.250 0.500
```

Record 4
Below is a relaxed K4Ba2Be crystal, with properties calculated at the PBE-GGA level.

Uncorrected energy   -16.73 eV/cell
Calculated volume   945.12 Å³/cell
Formation energy   0.51 eV per atom

The structure in CIF format:
```
data_K4Ba2Be
_space_group_name_H-M_alt 'I 4/m m m'
_space_group_IT_number 139
_space_group_name_Hall '-I 4 2'
_cell_length_a 6.140
_cell_length_b 6.140
_cell_length_c 25.066
_cell_angle_alpha 90.00
_cell_angle_beta 90.00
_cell_angle_gamma 90.00
loop_
_atom_site_label
_atom_site_type_symbol
_atom_site_fract_x
_atom_site_fract_y
_atom_site_fract_z
K1 K 0.000 0.000 0.130
K2 K 0.000 0.500 0.000
Ba1 Ba 0.000 0.000 0.301
Be1 Be 0.000 0.000 0.000
```

Record 5
Below is a relaxed VNi2Ru2 crystal, with properties calculated at the PBE-GGA level.

Uncorrected energy   -76.70 eV/cell
Calculated volume   130.01 Å³/cell
Formation energy   0.18 eV per atom

The structure in CIF format:
```
data_VNi2Ru2
_space_group_name_H-M_alt 'P 4/m b m'
_space_group_IT_number 127
_space_group_name_Hall '-P 4 2ab'
_cell_length_a 6.912
_cell_length_b 6.912
_cell_length_c 2.722
_cell_angle_alpha 90.00
_cell_angle_beta 90.00
_cell_angle_gamma 90.00
loop_
_atom_site_label
_atom_site_type_symbol
_atom_site_fract_x
_atom_site_fract_y
_atom_site_fract_z
V1 V 0.000 0.000 0.000
Ni1 Ni 0.121 0.379 0.000
Ru1 Ru 0.176 0.676 0.500
```

Record 6
Below is a relaxed Sn3IrF crystal, with properties calculated at the PBE-GGA level.

Uncorrected energy   -22.31 eV/cell
Calculated volume   107.15 Å³/cell
ΔE_f (raw)   86 meV/atom

The structure in CIF format:
```
data_Sn3IrF
_space_group_name_H-M_alt 'P m -3 m'
_space_group_IT_number 221
_space_group_name_Hall '-P 4 2 3'
_cell_length_a 4.750
_cell_length_b 4.750
_cell_length_c 4.750
_cell_angle_alpha 90.00
_cell_angle_beta 90.00
_cell_angle_gamma 90.00
loop_
_atom_site_label
_atom_site_type_symbol
_atom_site_fract_x
_atom_site_fract_y
_atom_site_fract_z
Sn1 Sn 0.000 0.000 0.500
Ir1 Ir 0.500 0.500 0.500
F1 F 0.000 0.000 0.000
```

Record 7
Below is a relaxed Pr2EuOs crystal, with properties calculated at the PBE-GGA level.

Uncorrected energy   -30.82 eV/cell
Calculated volume   126.96 Å³/cell
Formation energy   0.06 eV per atom

The structure in CIF format:
```
data_Pr2EuOs
_space_group_name_H-M_alt 'P 4/m m m'
_space_group_IT_number 123
_space_group_name_Hall '-P 4 2'
_cell_length_a 3.546
_cell_length_b 3.546
_cell_length_c 10.099
_cell_angle_alpha 90.00
_cell_angle_beta 90.00
_cell_angle_gamma 90.00
loop_
_atom_site_label
_atom_site_type_symbol
_atom_site_fract_x
_atom_site_fract_y
_atom_site_fract_z
Pr1 Pr 0.000 0.000 0.171
Eu1 Eu 0.500 0.500 0.500
Os1 Os 0.500 0.500 0.000
```

Record 8
Below is a relaxed YCoBr crystal, with properties calculated at the PBE-GGA level.

Uncorrected energy   -109.82 eV/cell
Calculated volume   460.06 Å³/cell
ΔE_f (raw)   -1020 meV/atom

The structure in CIF format:
```
data_YCoBr
_space_group_name_H-M_alt 'R -3 m'
_space_group_IT_number 166
_space_group_name_Hall '-R 3 2"'
_cell_length_a 3.9135
_cell_length_b 3.9135
_cell_length_c 34.6861
_cell_angle_alpha 90.00
_cell_angle_beta 90.00
_cell_angle_gamma 120.00
loop_
_atom_site_label
_atom_site_type_symbol
_atom_site_fract_x
_atom_site_fract_y
_atom_site_fract_z
Y1 Y 0.0000 0.0000 0.0539
Co1 Co 0.0000 0.0000 0.3351
Br1 Br 0.0000 0.0000 0.2239
```

Record 9
Below is a relaxed La2MoBr crystal, with properties calculated at the PBE-GGA level.

Uncorrected energy   -21.27 eV/cell
Calculated volume   119.61 Å³/cell
ΔE_f (raw)   272 meV/atom

The structure in CIF format:
```
data_La2MoBr
_space_group_name_H-M_alt 'P 4 m m'
_space_group_IT_number 99
_cell_length_a 3.581
_cell_length_b 3.581
_cell_length_c 9.327
_cell_angle_alpha 90.00
_cell_angle_beta 90.00
_cell_angle_gamma 90.00
loop_
_space_group_symop_operation_xyz
'x,y,z'
'-y,x,z'
'-x,-y,z'
'y,-x,z'
'-x,y,z'
'y,x,z'
'x,-y,z'
'-y,-x,z'
loop_
_atom_site_label
_atom_site_type_symbol
_atom_site_fract_x
_atom_site_fract_y
_atom_site_fract_z
La1 La 0.000 0.000 0.000
La2 La 0.500 0.500 0.339
Mo1 Mo 0.000 0.000 0.531
Br1 Br 0.500 0.500 0.795
```

Record 10
Below is a relaxed SnSb2I2 crystal, with properties calculated at the PBE-GGA level.

Uncorrected energy   -26.42 eV/cell
Calculated volume   377.32 Å³/cell
ΔE_f (raw)   428 meV/atom

The structure in CIF format:
```
data_SnSb2I2
_space_group_name_H-M_alt 'I 4/m m m'
_space_group_IT_number 139
_space_group_name_Hall '-I 4 2'
_cell_length_a 5.340
_cell_length_b 5.340
_cell_length_c 13.232
_cell_angle_alpha 90.00
_cell_angle_beta 90.00
_cell_angle_gamma 90.00
loop_
_atom_site_label
_atom_site_type_symbol
_atom_site_fract_x
_atom_site_fract_y
_atom_site_fract_z
Sn1 Sn 0.000 0.000 0.000
Sb1 Sb 0.000 0.000 0.397
I1 I 0.000 0.500 0.250
```

Record 11
Below is a relaxed AgMoRu2 crystal, with properties calculated at the PBE-GGA level.

Uncorrected energy   -92.92 eV/cell
Calculated volume   184.44 Å³/cell
Formation energy   0.32 eV per atom

The structure in CIF format:
```
data_AgMoRu2
_space_group_name_H-M_alt 'R 3 m'
_space_group_IT_number 160
_space_group_name_Hall 'R 3 -2"'
_cell_length_a 2.7635
_cell_length_b 2.7635
_cell_length_c 27.8869
_cell_angle_alpha 90.00
_cell_angle_beta 90.00
_cell_angle_gamma 120.00
loop_
_atom_site_label
_atom_site_type_symbol
_atom_site_fract_x
_atom_site_fract_y
_atom_site_fract_z
Ag1 Ag 0.0000 0.0000 0.0000
Mo1 Mo 0.0000 0.0000 0.7571
Ru1 Ru 0.0000 0.0000 0.2456
Ru2 Ru 0.0000 0.0000 0.5028
```

Record 12
Below is a relaxed Sm2Hf3Ge4 crystal, with properties calculated at the PBE-GGA level.

Uncorrected energy   -130.17 eV/cell
Calculated volume   380.46 Å³/cell
Formation energy   -0.81 eV per atom

The structure in CIF format:
```
data_Sm2Hf3Ge4
_space_group_name_H-M_alt 'P 1 21/c 1'
_space_group_IT_number 14
_cell_length_a 7.452
_cell_length_b 7.444
_cell_length_c 7.286
_cell_angle_alpha 90.00
_cell_angle_beta 109.72
_cell_angle_gamma 90.00
loop_
_space_group_symop_operation_xyz
'x,y,z'
'-x,-y,-z'
'-x,y+1/2,-z+1/2'
'x,-y+1/2,z+1/2'
loop_
_atom_site_label
_atom_site_type_symbol
_atom_site_fract_x
_atom_site_fract_y
_atom_site_fract_z
Sm1 Sm 0.188 0.171 0.064
Hf1 Hf 0.253 0.671 0.249
Hf2 Hf 0.500 0.000 0.500
Ge1 Ge 0.087 0.539 0.857
Ge2 Ge 0.492 0.134 0.862
```